No. 1
Compound: SrTl2CoF
Source: Alexandria via LeMat-Bulk
Functional: GGA-PBEsol
Structure: optimized geometry

Output
D(E_F), states/eV/cell: 6.1
SG: P4/mmm
ρ, g/cm³: 8.201
Size of the total moment, μB/f.u.: 1.39
Calculated volume, A^3/atom: 23.26
Formation energy without anion corrections, eV per atom: -0.255

```
SrTl2CoF
1.0
5.561 0.000 0.000
0.000 5.561 0.000
0.000 0.000 3.760
Sr Tl Co F
1 2 1 1
direct
0.000 0.000 0.000
0.000 0.500 0.500
0.500 0.000 0.500
0.500 0.500 0.000
0.500 0.500 0.500
```



No. 2
Compound: Na2Al2Si
Source: Alexandria via LeMat-Bulk
Functional: GGA-PBEsol
Structure: optimized geometry

Output
D(E_F), states/eV/cell: 3.9
SG: P4/mbm
ρ, g/cm³: 1.917
Size of the total moment, μB/f.u.: 0.00
Calculated volume, A^3/atom: 22.18
Formation energy without anion corrections, eV per atom: 0.152

```
Na2Al2Si
1.0
6.596 0.000 0.000
0.000 6.596 0.000
0.000 0.000 5.098
Na Al Si
4 4 2
direct
0.174 0.326 0.000
0.326 0.826 0.000
0.674 0.174 0.000
0.826 0.674 0.000
0.139 0.639 0.500
0.361 0.139 0.500
0.639 0.861 0.500
0.861 0.361 0.500
0.000 0.000 0.500
0.500 0.500 0.500
```



No. 3
Compound: KAlPO2
Source: Alexandria via LeMat-Bulk
Functional: GGA-PBEsol
Structure: optimized geometry

Output
D(E_F), states/eV/cell: 5.0
SG: P4/mmm
ρ, g/cm³: 1.961
Size of the total moment, μB/f.u.: 3.47
Calculated volume, A^3/atom: 21.85
Formation energy without anion corrections, eV per atom: 1.145

```
KAlPO2
1.0
4.313 0.000 0.000
0.000 4.313 0.000
0.000 0.000 5.875
K Al P O
1 1 1 2
direct
0.000 0.000 0.000
0.500 0.500 0.500
0.000 0.000 0.500
0.000 0.500 0.000
0.500 0.000 0.000
```



No. 4
Compound: ZrTeSe2N
Source: Alexandria via LeMat-Bulk
Functional: GGA-PBEsol
Structure: optimized geometry

Output
D(E_F), states/eV/cell: 3.8
SG: P4/mmm
ρ, g/cm³: 5.981
Size of the total moment, μB/f.u.: 0.94
Calculated volume, A^3/atom: 21.70
Formation energy without anion corrections, eV per atom: 0.628

```
ZrTeSe2N
1.0
5.289 0.000 0.000
0.000 5.289 0.000
0.000 0.000 3.878
Zr Te Se N
1 1 2 1
direct
0.000 0.000 0.000
0.500 0.500 0.500
0.000 0.500 0.500
0.500 0.000 0.500
0.500 0.500 0.000
```



No. 5
Compound: KMgBe2
Source: Alexandria via LeMat-Bulk
Functional: GGA-PBEsol
Structure: optimized geometry

Output
D(E_F), states/eV/cell: 2.1
SG: Cm
ρ, g/cm³: 1.561
Size of the total moment, μB/f.u.: 0.00
Calculated formation energy, eV per atom: 0.650
Calculated volume, A^3/atom: 21.66

```
KMgBe2
1.0
10.177 0.000 0.000
0.000 2.804 0.000
-1.592 0.000 6.070
K Mg Be
2 2 4
direct
0.000 0.000 0.000
0.500 0.500 0.000
0.179 0.000 0.566
0.679 0.500 0.566
0.304 0.500 0.330
0.455 0.000 0.483
0.804 0.000 0.330
0.955 0.500 0.483
```



No. 6
Compound: Ba2ReSi
Source: Alexandria via LeMat-Bulk
Functional: GGA-PBEsol
Structure: optimized geometry

Output
D(E_F), states/eV/cell: 9.7
SG: C2/m
ρ, g/cm³: 7.301
Size of the total moment, μB/f.u.: 0.00
Calculated volume, A^3/atom: 27.80
Formation energy without anion corrections, eV per atom: 1.147

```
Ba2ReSi
1.0
9.410 0.000 0.000
0.000 3.032 0.000
-0.574 0.000 7.796
Ba Re Si
4 2 2
direct
0.246 0.000 0.259
0.254 0.500 0.741
0.746 0.500 0.259
0.754 0.000 0.741
0.000 0.000 0.500
0.500 0.500 0.500
0.000 0.500 0.000
0.500 0.000 0.000
```



No. 7
Compound: Ba4YCu3O9
Source: Alexandria via LeMat-Bulk
Functional: GGA-PBEsol
Structure: optimized geometry

Output
D(E_F), states/eV/cell: 5.4
SG: Pm-3n
ρ, g/cm³: 6.243
Size of the total moment, μB/f.u.: 0.00
Calculated volume, A^3/atom: 15.22
Formation energy without anion corrections, eV per atom: -2.063

```
Ba4YCu3O9
1.0
8.029 0.000 0.000
0.000 8.029 0.000
0.000 0.000 8.029
Ba Y Cu O
8 2 6 18
direct
0.250 0.250 0.250
0.250 0.250 0.750
0.250 0.750 0.250
0.250 0.750 0.750
0.750 0.250 0.250
0.750 0.250 0.750
0.750 0.750 0.250
0.750 0.750 0.750
0.000 0.000 0.000
0.500 0.500 0.500
0.000 0.000 0.500
0.000 0.500 0.000
0.000 0.500 0.500
0.500 0.000 0.000
0.500 0.000 0.500
0.500 0.500 0.000
0.000 0.000 0.273
0.000 0.000 0.727
0.000 0.250 0.500
0.000 0.273 0.000
0.000 0.727 0.000
0.000 0.750 0.500
0.227 0.500 0.500
0.250 0.500 0.000
0.273 0.000 0.000
0.500 0.000 0.250
0.500 0.000 0.750
0.500 0.227 0.500
0.500 0.500 0.227
0.500 0.500 0.773
0.500 0.773 0.500
0.727 0.000 0.000
0.750 0.500 0.000
0.773 0.500 0.500
```



No. 8
Compound: YTc2As2
Source: Alexandria via LeMat-Bulk
Functional: GGA-PBEsol
Structure: optimized geometry

Output
D(E_F), states/eV/cell: 7.5
SG: I4/mmm
ρ, g/cm³: 7.996
Size of the total moment, μB/f.u.: 0.00
Calculated formation energy, eV per atom: -0.424
Calculated volume, A^3/atom: 18.06

```
YTc2As2
1.0
4.488 0.000 0.000
0.000 4.488 0.000
0.000 0.000 8.966
Y Tc As
2 4 4
direct
0.000 0.000 0.000
0.500 0.500 0.500
0.000 0.000 0.374
0.000 0.000 0.626
0.500 0.500 0.126
0.500 0.500 0.874
0.000 0.500 0.250
0.000 0.500 0.750
0.500 0.000 0.250
0.500 0.000 0.750
```



No. 9
Compound: VPt
Source: Alexandria via LeMat-Bulk
Functional: GGA-PBEsol
Structure: optimized geometry

Output
D(E_F), states/eV/cell: 1.1
SG: P4/mmm
ρ, g/cm³: 14.864
Size of the total moment, μB/f.u.: 0.00
Calculated formation energy, eV per atom: -0.584
Calculated volume, A^3/atom: 13.74

```
VPt
1.0
2.669 0.000 0.000
0.000 2.669 0.000
0.000 0.000 3.857
V Pt
1 1
direct
0.000 0.000 0.000
0.500 0.500 0.500
```



No. 10
Compound: ZrMnNi
Source: Alexandria via LeMat-Bulk
Functional: GGA-PBEsol
Structure: optimized geometry

Output
D(E_F), states/eV/cell: 4.4
SG: I4mm
ρ, g/cm³: 7.679
Size of the total moment, μB/f.u.: 3.22
Calculated formation energy, eV per atom: -0.045
Calculated volume, A^3/atom: 14.77

```
ZrMnNi
1.0
3.137 0.000 0.000
0.000 3.137 0.000
0.000 0.000 9.002
Zr Mn Ni
2 2 2
direct
0.000 0.000 0.000
0.500 0.500 0.500
0.000 0.000 0.316
0.500 0.500 0.816
0.000 0.000 0.672
0.500 0.500 0.172
```



No. 11
Compound: BiSb2Te2
Source: Alexandria via LeMat-Bulk
Functional: GGA-PBEsol
Structure: optimized geometry

Output
D(E_F), states/eV/cell: 5.7
SG: I4/mmm
ρ, g/cm³: 7.800
Energy above the lowest structure with this stoichiometry, eV per atom: 0.082
Size of the total moment, μB/f.u.: 0.00
Calculated volume, A^3/atom: 30.13
Formation energy without anion corrections, eV per atom: 0.160

```
BiSb2Te2
1.0
4.154 0.000 0.000
0.000 4.154 0.000
0.000 0.000 17.466
Bi Sb Te
2 4 4
direct
0.000 0.000 0.000
0.500 0.500 0.500
0.000 0.500 0.250
0.000 0.500 0.750
0.500 0.000 0.250
0.500 0.000 0.750
0.000 0.000 0.406
0.000 0.000 0.594
0.500 0.500 0.094
0.500 0.500 0.906
```



No. 12
Compound: TlInTe2
Source: Alexandria via LeMat-Bulk
Functional: GGA-PBEsol
Structure: optimized geometry

Output
D(E_F), states/eV/cell: 0.1
SG: I4/mcm
ρ, g/cm³: 7.640
Size of the total moment, μB/f.u.: 0.00
Calculated volume, A^3/atom: 31.21
Formation energy without anion corrections, eV per atom: -0.326

```
TlInTe2
1.0
8.376 0.000 0.000
0.000 8.376 0.000
0.000 0.000 7.118
Tl In Te
4 4 8
direct
0.000 0.000 0.250
0.000 0.000 0.750
0.500 0.500 0.250
0.500 0.500 0.750
0.000 0.500 0.250
0.000 0.500 0.750
0.500 0.000 0.250
0.500 0.000 0.750
0.185 0.315 0.000
0.185 0.685 0.500
0.315 0.185 0.500
0.315 0.815 0.000
0.685 0.185 0.000
0.685 0.815 0.500
0.815 0.315 0.500
0.815 0.685 0.000
```



> Among the records above, which one has the highest size of the total moment?

KAlPO2